No. 1
Zn2SbAs after structural relaxation. Source: Alexandria, functional GGA-PBE.

Its crystal system is tetragonal. The value obtained for the density of states at the Fermi level is 2.3 states/eV per cell. As for the relative energy among the computed polymorphs: 73 kJ/mol of formula units. The mass density is 6.8 g cm⁻³.

Cell and atoms, written as POSCAR:
```
Zn2SbAs
1.0
-1.551 -2.952 -1.456
0.220 -1.699 3.210
-5.461 2.129 1.501
Zn Sb As
2 1 1
Cartesian
-2.541 0.991 0.698
-0.190 0.074 0.052
-4.761 -0.728 2.003
-2.031 -1.793 1.252
```

---

No. 2
ZnSbAs after structural relaxation. Source: Alexandria, functional GGA-PBE.

Its crystal system is trigonal. The value obtained for the density of states at the Fermi level is 1.1 states/eV per cell. As for the relative energy among the computed polymorphs: 31 kJ/mol of formula units. The mass density is 6.4 g cm⁻³.

Cell and atoms, written as POSCAR:
```
ZnSbAs
1.0
-2.131 1.772 4.330
-2.852 -0.509 -4.247
-0.694 -2.790 0.800
As Sb Zn
1 1 1
Cartesian
-0.001 -0.003 0.001
-3.064 -1.774 2.270
-2.612 0.250 -1.388
```

---

No. 3
ZnSb2As2 after structural relaxation. Source: Alexandria, functional GGA-PBE.

Its crystal system is tetragonal. The value obtained for the density of states at the Fermi level is 6.2 states/eV per cell. As for the relative energy among the computed polymorphs: 10 kJ/mol of formula units. The mass density is 6.3 g cm⁻³.

Cell and atoms, written as POSCAR:
```
ZnSb2As2
1.0
-5.908 1.449 -5.113
-5.291 -0.891 5.862
0.239 3.746 0.785
Sb As Zn
4 4 2
Cartesian
-4.925 0.823 -2.425
-8.445 0.592 -0.251
-6.274 -0.265 3.174
-2.754 -0.034 0.999
-6.759 2.793 -1.901
-2.742 2.247 -0.522
-4.201 1.511 3.436
-8.218 2.056 2.056
-5.600 0.279 0.374
0.000 0.000 0.000
```

---

No. 4
ZnSbAs2 after structural relaxation. Source: Alexandria, functional GGA-PBE.

Its crystal system is orthorhombic. The value obtained for the density of states at the Fermi level is 2.2 states/eV per cell. As for the relative energy among the computed polymorphs: 110 kJ/mol of formula units. The mass density is 6.8 g cm⁻³.

Cell and atoms, written as POSCAR:
```
ZnSbAs2
1.0
-3.279 1.323 -0.072
-1.041 -2.370 3.883
1.507 3.888 2.777
Zn As Sb
1 2 1
Cartesian
0.233 0.759 3.330
-2.160 -0.524 1.905
0.000 0.000 0.000
-0.886 2.605 1.352
```

---

No. 5
ZnSbAs2 after structural relaxation. Source: Alexandria, functional GGA-PBE.

Its crystal system is monoclinic. The value obtained for the density of states at the Fermi level is 2.0 states/eV per cell. As for the relative energy among the computed polymorphs: 41 kJ/mol of formula units. The mass density is 6.4 g cm⁻³.

Cell and atoms, written as POSCAR:
```
ZnSbAs2
1.0
3.816 0.000 0.000
0.000 2.928 -0.010
0.000 -1.415 7.799
As Zn Sb
2 1 1
Cartesian
1.908 0.589 1.780
0.000 -0.846 7.649
1.908 0.512 6.091
0.000 0.600 3.963
```

---

No. 6
ZnSbAs2 after structural relaxation. Source: Alexandria, functional GGA-PBE.

Its crystal system is trigonal. The value obtained for the density of states at the Fermi level is 1.3 states/eV per cell. As for the relative energy among the computed polymorphs: 101 kJ/mol of formula units. The mass density is 6.7 g cm⁻³.

Cell and atoms, written as POSCAR:
```
ZnSbAs2
1.0
9.672 -0.016 -0.009
9.154 3.125 -0.009
9.154 1.512 2.735
Zn As Sb
1 2 1
Cartesian
20.985 3.466 2.037
13.651 2.255 1.325
0.339 0.056 0.033
6.995 1.155 0.679
```

---

No. 7
ZnSbAs2 after structural relaxation. Source: Alexandria, functional GGA-PBE.

Its crystal system is orthorhombic. The value obtained for the density of states at the Fermi level is 1.4 states/eV per cell. As for the relative energy among the computed polymorphs: 94 kJ/mol of formula units. The mass density is 6.7 g cm⁻³.

Cell and atoms, written as POSCAR:
```
ZnSbAs2
1.0
-0.157 2.674 1.603
-1.974 -1.970 1.402
6.568 -2.800 5.312
Sb As Zn
1 2 1
Cartesian
0.577 -0.348 2.831
6.309 -2.689 5.102
3.543 -1.510 2.866
3.861 -1.748 5.486
```

---

No. 8
ZnSbAs2 after structural relaxation. Source: Alexandria, functional GGA-PBE.

Its crystal system is orthorhombic. The value obtained for the density of states at the Fermi level is 1.7 states/eV per cell. As for the relative energy among the computed polymorphs: 82 kJ/mol of formula units. The mass density is 6.2 g cm⁻³.

Cell and atoms, written as POSCAR:
```
ZnSbAs2
1.0
-1.982 -1.740 5.120
3.710 -3.471 2.711
-0.747 5.287 -2.157
As Zn Sb
2 1 1
Cartesian
-0.825 0.148 3.924
0.013 -0.039 0.059
1.867 -0.252 2.021
0.791 -2.386 3.585
```